Entry 1:
DFT (PBE) results for Ti3Cu2W after structural relaxation.

Computed properties:
E_form: -0.05 eV per atom
SG: No. 123

Cell lengths 3.154, 3.154, 9.200 Å; angles 90.00, 90.00, 90.00 degrees
Site moments in Bohr magnetons follow the coordinates.
Fractional coordinates of all 6 atoms:
Ti1 0.000 0.000 0.000  0.61
Ti2 0.000 0.000 0.665  0.03
Ti3 0.000 0.000 0.335  0.03
Cu1 0.500 0.500 0.834  0.05
Cu2 0.500 0.500 0.166  0.05
W1 0.500 0.500 0.500  0.00

=====

Entry 2:
DFT (PBE) results for ReSe5 after structural relaxation.

Computed properties:
ΔE to the lowest computed polymorph: 1.172 eV/atom
raw formation energy: 1339 meV per atom
SG: No. 216

Cell lengths 5.624, 5.624, 5.624 Å; angles 60.00, 60.00, 60.00 degrees
Site moments in Bohr magnetons follow the coordinates.
Fractional coordinates of all 6 atoms:
Re1 0.000 0.000 0.000  3.31
Se1 0.250 0.250 0.250  -0.38
Se2 0.627 0.627 0.627  -0.03
Se3 0.627 0.627 0.120  -0.03
Se4 0.120 0.627 0.627  -0.03
Se5 0.627 0.120 0.627  -0.03

=====

Entry 3:
DFT (PBE) results for BaTi2AgSn after structural relaxation.

Computed properties:
E_form: 0.75 eV per atom
SG: No. 123

Cell lengths 5.162, 5.879, 5.162 Å; angles 90.00, 90.00, 90.00 degrees
Site moments in Bohr magnetons follow the coordinates.
Fractional coordinates of all 5 atoms:
Ti1 0.000 0.000 0.500  0.98
Ti2 0.500 0.000 0.000  1.74
Ba1 0.000 0.500 0.000  0.03
Ag1 0.000 0.000 0.000  0.08
Sn1 0.500 0.500 0.500  -0.12

=====

The evaluated density of states at the Fermi level for the records listed, in turn: 5.86, 4.24, 7.15 states/eV/cell.
The evaluated magnetization for the records listed, in turn: 0.1608, 0.5212, 0.6967 μB per atom.